# 1
YScHgPb | Alexandria via LeMat-Bulk | PBE | optimized geometry; formation energy = -0.41 eV per atom
1.0
0.0000 3.6888 3.6888
3.6888 0.0000 3.6888
3.6888 3.6888 0.0000
Y Sc Hg Pb
1 1 1 1
direct
0.0000 0.0000 0.0000
0.5000 0.5000 0.5000
0.2500 0.2500 0.2500
0.7500 0.7500 0.7500

---

# 2
LaAuI2N | Alexandria via LeMat-Bulk | PBE | optimized geometry; E above lowest polymorph = 0.00 eV/f.u.; raw formation energy = 0.0433 eV/atom
1.0
6.4509 0.0000 0.0000
0.0000 6.4509 0.0000
0.0000 0.0000 4.1156
La Au I N
1 1 2 1
direct
0.0000 0.0000 0.0000
0.5000 0.5000 0.5000
0.0000 0.5000 0.0000
0.5000 0.0000 0.0000
0.0000 0.0000 0.5000

---

Number 1: total moment 0.00 μB per atom. Number 2: total moment 0.00 μB per atom.